(1)
5
Lattice="5.356 0.000 0.000 0.000 5.173 0.000 0.000 0.000 5.356" Properties=species:S:1:pos:R:3 comment="Y2TlTcSn | Alexandria via LeMat-Bulk | GGA-PBE | relaxed" dft_energy_ev_per_fu=-29.73 e_form_mev_per_atom=-14 density_g_cm3=6.70 space_group="P4/mmm, No. 123" pbc="T T T"
Y 0.000 0.000 2.678
Y 2.678 0.000 0.000
Tl 2.678 2.586 2.678
Sn 0.000 2.586 0.000
Tc 0.000 0.000 0.000

---

(2)
12
Lattice="-0.396 -0.466 -4.965 3.070 -4.557 0.183 -4.825 -3.223 0.687" Properties=species:S:1:pos:R:3 comment="MgCdF4 | Alexandria via LeMat-Bulk | GGA-PBE | relaxed" dft_energy_ev_per_fu=-27.07 density_g_cm3=4.40 space_group="Pnc2, No. 30" raw_formation_energy_mev_per_atom=-2846 pbc="T T T"
Mg -4.058 -2.711 0.578
Mg -1.843 -1.332 -2.248
Cd 0.662 -2.861 0.216
Cd -1.948 -4.706 -1.923
F 2.010 -4.346 -0.975
F -3.394 -4.337 -0.330
F -1.021 -2.772 -1.171
F -0.409 -5.965 -0.705
F 0.005 -4.716 -3.085
F -2.772 -2.969 -3.243
F -0.365 -1.364 -3.660
F -2.447 -6.374 -3.239